No. 1
CsSrSeBr2 | PBE | optimized geometry

For the energy relative to the lowest polymorph listed for this composition, the calculation gives 3.88 eV/f.u. The calculated volume comes out at 46.080 A^3/atom. The uncorrected formation energy is -69.1 kJ/mol of atoms. For the raw total energy, the calculation gives -2.59 eV/atom.

a b c (Å): 6.3131 6.3131 5.7809
angles (deg): 90.00 90.00 90.00
Space group P4/mmm (No. 123)
Symmetry-distinct sites (fractional):
Cs  0.0000  0.0000  0.0000 [1 per cell]
Sr  0.5000  0.5000  0.5000 [1 per cell]
Se  0.0000  0.0000  0.5000 [1 per cell]
Br  0.0000  0.5000  0.0000 [2 per cell]



No. 2
MgAsPb2 | PBE | optimized geometry

For the energy relative to the lowest polymorph listed for this composition, the calculation gives 0.94 eV/f.u. The formation energy comes out at 0.126 eV/atom. The calculated volume comes out at 26.561 A^3/atom. For the raw total energy, the calculation gives -3.29 eV/atom.

a b c (Å): 3.2641 5.5601 5.8602
angles (deg): 90.00 92.60 90.00
Space group P2/m (No. 10)
Symmetry-distinct sites (fractional):
Mg  0.0000  0.0000  0.0000 [1 per cell]
As  0.5000  0.0000  0.5000 [1 per cell]
Pb  0.2836  0.5000  0.7448 [2 per cell]



| no. | ρ (Mg/m³) |
| --- | --- |
| 1 | 3.31 |
| 2 | 8.03 |